1.
5
Lattice="-4.503 -2.410 1.109 2.189 -5.023 -2.027 1.790 -1.147 4.775" Properties=species:S:1:pos:R:3 comment="AlCuAg2Te | Alexandria via LeMat-Bulk | PBE | optimized geometry" formation_energy_uncorrected_ev_per_atom=0.905 energy_ev_per_fu=-12.2 pbc="T T T"
Te 0.000 0.000 0.000
Cu -0.263 -4.290 1.928
Ag 0.895 -0.574 2.387
Ag -2.252 -1.205 0.555
Al 1.094 -2.511 -1.013


2.
10
Lattice="6.365 0.526 1.143 0.528 6.541 1.270 4.254 4.428 6.143" Properties=species:S:1:pos:R:3 comment="LiTb2Ga6Co | Alexandria via LeMat-Bulk | PBE | optimized geometry" e_form_mev_per_atom=-350.4 energy_ev_per_fu=-39.9 pbc="T T T"
Li 3.447 3.534 1.207
Tb 4.256 7.342 4.476
Tb 6.891 4.153 4.080
Ga 2.610 5.716 2.158
Ga 5.265 5.292 1.848
Ga 3.930 3.958 3.736
Ga 8.537 5.779 6.398
Ga 5.882 6.203 6.708
Ga 7.217 7.537 4.820
Co 0.000 0.000 0.000


3.
16
Lattice="6.352 0.000 0.000 0.000 7.233 0.000 0.000 0.000 6.375" Properties=species:S:1:pos:R:3 comment="MgAlAu2 | Alexandria via LeMat-Bulk | PBE | optimized geometry" e_form_mev_per_atom=-468.2 energy_ev_per_fu=-13.8 pbc="T T T"
Mg 1.948 1.808 0.141
Mg 5.124 5.425 3.047
Mg 4.404 5.425 6.235
Mg 1.228 1.808 3.328
Al 4.143 1.808 2.457
Al 0.967 5.425 0.731
Al 2.209 5.425 3.918
Al 5.385 1.808 5.644
Au 6.040 0.343 1.442
Au 2.864 6.890 1.746
Au 0.312 3.960 4.933
Au 3.488 3.273 4.630
Au 0.312 6.890 4.933
Au 3.488 0.343 4.630
Au 6.040 3.273 1.442
Au 2.864 3.960 1.746


4.
4
Lattice="-2.260 -2.614 -3.305 3.905 0.081 -2.758 0.281 -1.559 4.512" Properties=species:S:1:pos:R:3 comment="SrAl2Ru | Alexandria via LeMat-Bulk | PBE | optimized geometry" e_form_mev_per_atom=259.6 energy_ev_per_fu=-17.4 pbc="T T T"
Ru 0.823 -1.267 -3.032
Al 0.000 0.000 0.000
Al 2.505 -1.372 -0.639
Sr -0.578 -2.720 -0.912


5.
4
Lattice="3.948 0.000 0.000 1.974 3.419 0.000 1.974 1.140 10.366" Properties=species:S:1:pos:R:3 comment="AcCe2Os | Alexandria via LeMat-Bulk | PBE | optimized geometry" e_form_mev_per_atom=144.1 energy_ev_per_fu=-26.6 pbc="T T T"
Ac 0.000 0.000 0.000
Os 3.948 2.279 5.183
Ce 1.974 1.140 6.730
Ce 5.921 3.419 3.636


6.
4
Lattice="5.205 0.000 0.000 2.603 4.508 0.000 2.603 1.503 4.250" Properties=species:S:1:pos:R:3 comment="GdTmAlIn | Alexandria via LeMat-Bulk | PBE | optimized geometry" e_form_mev_per_atom=-403.7 energy_ev_per_fu=-26.6 pbc="T T T"
Gd 5.205 3.005 2.125
Tm 0.000 0.000 0.000
Al 7.808 4.508 3.188
In 2.603 1.503 1.063


7.
6
Lattice="-2.079 2.986 -0.672 -2.207 -2.025 -2.172 -6.489 -2.507 8.932" Properties=species:S:1:pos:R:3 comment="Er3CdIn2 | Alexandria via LeMat-Bulk | PBE | optimized geometry" e_form_mev_per_atom=-404.7 energy_ev_per_fu=-22.5 pbc="T T T"
Er 0.000 0.000 0.000
Er -4.294 -1.659 5.911
Er -2.195 -0.848 3.021
Cd -5.387 -0.773 3.044
In -7.520 -1.597 5.981
In -3.254 0.051 0.108


Please write out number 1 again, unchanged.
5
Lattice="-4.503 -2.410 1.109 2.189 -5.023 -2.027 1.790 -1.147 4.775" Properties=species:S:1:pos:R:3 comment="AlCuAg2Te | Alexandria via LeMat-Bulk | PBE | optimized geometry" formation_energy_uncorrected_ev_per_atom=0.905 energy_ev_per_fu=-12.2 pbc="T T T"
Te 0.000 0.000 0.000
Cu -0.263 -4.290 1.928
Ag 0.895 -0.574 2.387
Ag -2.252 -1.205 0.555
Al 1.094 -2.511 -1.013